The following is a PBE+U calculation of a geometry-optimized Cr2NiHgO structure, from Alexandria.

**E**: -4.24 eV/atom

```
Cr2NiHgO
1.0
5.034 0.000 0.000
0.000 5.034 0.000
0.000 0.000 3.526
Cr Ni Hg O
2 1 1 1
direct
0.000 0.500 0.000 Cr
0.500 0.000 0.000 Cr
0.000 0.000 0.000 Ni
0.500 0.500 0.500 Hg
0.000 0.000 0.500 O
```